Entry 1:
Material: SrSe2O
Method: DFT, PBE
State: optimized geometry

```
data_SrSe2O
_chemical_formula_sum 'Sr3 Se6 O3'
_symmetry_space_group_name_H-M 'R -3 m'
_symmetry_Int_Tables_number 166
_symmetry_space_group_name_Hall '-R 3 2"'
_cell_length_a 3.5201
_cell_length_b 3.5201
_cell_length_c 26.2986
_cell_angle_alpha 90.00
_cell_angle_beta 90.00
_cell_angle_gamma 120.00
loop_
_atom_site_label
_atom_site_fract_x
_atom_site_fract_y
_atom_site_fract_z
Sr1 0.0000 0.0000 0.0000
Se1 0.0000 0.0000 0.1120
O1 0.0000 0.0000 0.5000
```

As for the density: 4.62 g/cm³.

Entry 2:
Material: Sr2Se2O
Method: DFT, PBE
State: optimized geometry

```
data_Sr2Se2O
_chemical_formula_sum 'Sr4 Se4 O2'
_symmetry_space_group_name_H-M 'P 4/m b m'
_symmetry_Int_Tables_number 127
_symmetry_space_group_name_Hall '-P 4 2ab'
_cell_length_a 8.194
_cell_length_b 8.194
_cell_length_c 4.042
_cell_angle_alpha 90.00
_cell_angle_beta 90.00
_cell_angle_gamma 90.00
loop_
_atom_site_label
_atom_site_fract_x
_atom_site_fract_y
_atom_site_fract_z
Sr1 0.160 0.340 0.000
Se1 0.147 0.647 0.500
O1 0.000 0.000 0.500
```

The energy above the most stable polymorph in this dataset is 74.3 meV per atom. As for the density: 4.27 g/cm³.

Entry 3:
Material: SrSe2O
Method: DFT, PBE
State: optimized geometry

```
data_SrSe2O
_chemical_formula_sum 'Sr4 Se8 O4'
_symmetry_space_group_name_H-M 'I -4 2 d'
_symmetry_Int_Tables_number 122
_symmetry_space_group_name_Hall 'I -4 2bw'
_cell_length_a 6.341
_cell_length_b 6.341
_cell_length_c 9.917
_cell_angle_alpha 90.00
_cell_angle_beta 90.00
_cell_angle_gamma 90.00
loop_
_atom_site_label
_atom_site_fract_x
_atom_site_fract_y
_atom_site_fract_z
Sr1 0.000 0.000 0.000
Se1 0.077 0.250 0.625
O1 0.000 0.000 0.500
```

As for the density: 4.36 g/cm³.

Entry 4:
Material: SrSeO3
Method: DFT, PBE
State: optimized geometry

```
data_SrSeO3
_chemical_formula_sum 'Sr1 Se1 O3'
_symmetry_space_group_name_H-M 'P m -3 m'
_symmetry_Int_Tables_number 221
_symmetry_space_group_name_Hall '-P 4 2 3'
_cell_length_a 4.004
_cell_length_b 4.004
_cell_length_c 4.004
_cell_angle_alpha 90.00
_cell_angle_beta 90.00
_cell_angle_gamma 90.00
loop_
_atom_site_label
_atom_site_fract_x
_atom_site_fract_y
_atom_site_fract_z
Sr1 0.000 0.000 0.000
Se1 0.500 0.500 0.500
O1 0.000 0.500 0.500
```

As for the density: 5.55 g/cm³.

Entry 5:
Material: Sr2SeO
Method: DFT, PBE
State: optimized geometry

```
data_Sr2SeO
_chemical_formula_sum 'Sr4 Se2 O2'
_symmetry_space_group_name_H-M 'P 4/n m m'
_symmetry_Int_Tables_number 129
_cell_length_a 4.681
_cell_length_b 4.681
_cell_length_c 9.278
_cell_angle_alpha 90.00
_cell_angle_beta 90.00
_cell_angle_gamma 90.00
loop_
_symmetry_equiv_pos_as_xyz
'x,y,z'
'-x,-y,-z'
'-y+1/2,x,z'
'y+1/2,-x,-z'
'-x+1/2,-y+1/2,z'
'x+1/2,y+1/2,-z'
'y,-x+1/2,z'
'-y,x+1/2,-z'
'x+1/2,-y,-z'
'-x+1/2,y,z'
'-y,-x,-z'
'y,x,z'
'-x,y+1/2,-z'
'x,-y+1/2,z'
'y+1/2,x+1/2,-z'
'-y+1/2,-x+1/2,z'
loop_
_atom_site_label
_atom_site_fract_x
_atom_site_fract_y
_atom_site_fract_z
Sr1 0.250 0.250 0.158
Sr2 0.250 0.750 0.500
Se1 0.250 0.250 0.813
O1 0.250 0.250 0.413
```

The energy above the most stable polymorph in this dataset is 0.0 meV per atom. As for the density: 4.41 g/cm³.

Entry 6:
Material: SrSeO3
Method: DFT, PBE
State: optimized geometry

```
data_SrSeO3
_chemical_formula_sum 'Sr4 Se4 O12'
_symmetry_space_group_name_H-M 'P n m a'
_symmetry_Int_Tables_number 62
_cell_length_a 12.813
_cell_length_b 5.596
_cell_length_c 4.488
_cell_angle_alpha 90.00
_cell_angle_beta 90.00
_cell_angle_gamma 90.00
loop_
_symmetry_equiv_pos_as_xyz
'x,y,z'
'-x,-y,-z'
'-x+1/2,-y,z+1/2'
'x+1/2,y,-z+1/2'
'x+1/2,-y+1/2,-z+1/2'
'-x+1/2,y+1/2,z+1/2'
'-x,y+1/2,-z'
'x,-y+1/2,z'
loop_
_atom_site_label
_atom_site_fract_x
_atom_site_fract_y
_atom_site_fract_z
Sr1 0.152 0.250 0.013
Se1 0.079 0.750 0.489
O1 0.050 0.750 0.114
O2 0.165 0.511 0.516
```

As for the density: 4.43 g/cm³.

Entry 7:
Material: Sr2Se2O
Method: DFT, PBE
State: optimized geometry

```
data_Sr2Se2O
_chemical_formula_sum 'Sr4 Se4 O2'
_symmetry_space_group_name_H-M 'I 4/m m m'
_symmetry_Int_Tables_number 139
_symmetry_space_group_name_Hall '-I 4 2'
_cell_length_a 5.805
_cell_length_b 5.805
_cell_length_c 8.019
_cell_angle_alpha 90.00
_cell_angle_beta 90.00
_cell_angle_gamma 90.00
loop_
_atom_site_label
_atom_site_fract_x
_atom_site_fract_y
_atom_site_fract_z
Sr1 0.000 0.500 0.250
Se1 0.000 0.000 0.163
O1 0.000 0.000 0.500
```

The energy above the most stable polymorph in this dataset is 0.0 meV per atom. As for the density: 4.29 g/cm³.

Entry 8:
Material: SrSe2O
Method: DFT, PBE
State: optimized geometry

```
data_SrSe2O
_chemical_formula_sum 'Sr3 Se6 O3'
_symmetry_space_group_name_H-M 'R -3 m'
_symmetry_Int_Tables_number 166
_symmetry_space_group_name_Hall '-R 3 2"'
_cell_length_a 4.9757
_cell_length_b 4.9757
_cell_length_c 18.6896
_cell_angle_alpha 90.00
_cell_angle_beta 90.00
_cell_angle_gamma 120.00
loop_
_atom_site_label
_atom_site_fract_x
_atom_site_fract_y
_atom_site_fract_z
Sr1 0.0000 0.0000 0.0000
Se1 0.0000 0.0000 0.4006
O1 0.0000 0.0000 0.5000
```

As for the density: 3.25 g/cm³.

Entry 9:
Material: Sr2SeO
Method: DFT, PBE
State: optimized geometry

```
data_Sr2SeO
_chemical_formula_sum 'Sr8 Se4 O4'
_symmetry_space_group_name_H-M 'I -4 2 d'
_symmetry_Int_Tables_number 122
_symmetry_space_group_name_Hall 'I -4 2bw'
_cell_length_a 7.080
_cell_length_b 7.080
_cell_length_c 8.524
_cell_angle_alpha 90.00
_cell_angle_beta 90.00
_cell_angle_gamma 90.00
loop_
_atom_site_label
_atom_site_fract_x
_atom_site_fract_y
_atom_site_fract_z
Sr1 0.178 0.250 0.125
Se1 0.000 0.000 0.500
O1 0.000 0.000 0.000
```

The energy above the most stable polymorph in this dataset is 93.4 meV per atom. As for the density: 4.20 g/cm³.

Entry 10:
Material: Sr2SeO5
Method: DFT, PBE
State: optimized geometry

```
data_Sr2SeO5
_chemical_formula_sum 'Sr4 Se2 O10'
_symmetry_space_group_name_H-M 'I 4 m m'
_symmetry_Int_Tables_number 107
_symmetry_space_group_name_Hall 'I 4 -2'
_cell_length_a 5.820
_cell_length_b 5.820
_cell_length_c 7.336
_cell_angle_alpha 90.00
_cell_angle_beta 90.00
_cell_angle_gamma 90.00
loop_
_atom_site_label
_atom_site_fract_x
_atom_site_fract_y
_atom_site_fract_z
Sr1 0.000 0.500 0.000
Se1 0.000 0.000 0.263
O1 0.000 0.000 0.492
O2 0.213 0.213 0.211
```

As for the density: 4.47 g/cm³.

Entry 11:
Material: SrSe2O5
Method: DFT, PBE
State: optimized geometry

```
data_SrSe2O5
_chemical_formula_sum 'Sr4 Se8 O20'
_symmetry_space_group_name_H-M 'P -1'
_symmetry_Int_Tables_number 2
_cell_length_a 7.049
_cell_length_b 7.113
_cell_length_c 11.188
_cell_angle_alpha 84.70
_cell_angle_beta 80.80
_cell_angle_gamma 79.81
loop_
_symmetry_equiv_pos_as_xyz
'x,y,z'
'-x,-y,-z'
loop_
_atom_site_label
_atom_site_fract_x
_atom_site_fract_y
_atom_site_fract_z
Sr1 0.190 0.109 0.258
Sr2 0.305 0.144 0.608
Se1 0.090 0.665 0.125
Se2 0.194 0.663 0.458
Se3 0.366 0.227 0.931
Se4 0.373 0.669 0.711
O1 0.037 0.271 0.473
O2 0.045 0.786 0.254
O3 0.156 0.400 0.875
O4 0.177 0.844 0.729
O5 0.205 0.447 0.165
O6 0.254 0.068 0.024
O7 0.294 0.867 0.442
O8 0.311 0.530 0.595
O9 0.454 0.209 0.370
O10 0.459 0.121 0.800
```

As for the density: 3.98 g/cm³.

Entry 12:
Material: Sr2SeO6
Method: DFT, PBE
State: optimized geometry

```
data_Sr2SeO6
_chemical_formula_sum 'Sr4 Se2 O12'
_symmetry_space_group_name_H-M 'C 1 2/m 1'
_symmetry_Int_Tables_number 12
_cell_length_a 9.466
_cell_length_b 5.468
_cell_length_c 4.531
_cell_angle_alpha 90.00
_cell_angle_beta 90.07
_cell_angle_gamma 90.00
loop_
_symmetry_equiv_pos_as_xyz
'x,y,z'
'-x,-y,-z'
'-x,y,-z'
'x,-y,z'
'x+1/2,y+1/2,z'
'-x+1/2,-y+1/2,-z'
'-x+1/2,y+1/2,-z'
'x+1/2,-y+1/2,z'
loop_
_atom_site_label
_atom_site_fract_x
_atom_site_fract_y
_atom_site_fract_z
Sr1 0.167 0.000 0.278
Se1 0.000 0.500 0.000
O1 0.079 0.262 0.779
O2 0.159 0.500 0.220
```

As for the density: 4.96 g/cm³.

| no. | E_form (uncorrected) (eV per atom) |
| --- | --- |
| 1 | 0.547 |
| 2 | -1.137 |
| 3 | -0.630 |
| 4 | -1.522 |
| 5 | -2.335 |
| 6 | -1.897 |
| 7 | -1.211 |
| 8 | -0.632 |
| 9 | -2.242 |
| 10 | -1.880 |
| 11 | -1.483 |
| 12 | -1.501 |